A geometry-optimized SrC structure. Source: Alexandria, functional GGA-PBE.

Properties
electronic total energy = -42.5 eV for the cell shown
E above lowest polymorph = 0.106 eV per atom
V = 27.84 Å³/atom
energy of formation from the pure elements = 0.139 eV per atom

Cell lengths 7.381, 7.381, 4.089 Å; angles 90.00, 90.00, 90.00 degrees
Positions (direct):
C1 0.439 0.561 0.000
C2 0.561 0.439 0.000
C3 0.061 0.061 0.500
C4 0.939 0.939 0.500
Sr1 0.733 0.267 0.500
Sr2 0.767 0.767 0.000
Sr3 0.267 0.733 0.500
Sr4 0.233 0.233 0.000